1.
Co2RuPt: optimized geometry, GGA-PBE.

## Properties
**Volume**: 12.80 Å³ per atom
**Energy above the lowest structure with this stoichiometry**: 0.000 eV/atom
**Total moment**: 2.275 μB/cell

a b c (Å): 2.6544 2.6544 7.2664
angles (deg): 90.00 90.00 89.99
Site moments in Bohr magnetons follow the coordinates.
Element x y z (fractional)
Co (0.0000, 0.0000, 0.5092)  1.11
Ru (0.5000, 0.5000, 0.7500)  -0.04
Pt (0.5000, 0.5000, 0.2500)  0.14
Co (0.0000, 0.0000, 0.9908)  1.11

=====

2.
NdY2InC: optimized geometry, GGA-PBE.

## Properties
**Volume**: 25.11 Å³ per atom
**Total moment**: 0.000 μB/cell

a b c (Å): 5.1346 4.9447 4.9447
angles (deg): 90.00 90.00 90.00
Element x y z (fractional)
Nd (0.5000, 0.0000, 0.0000)
C (0.0000, 0.0000, 0.0000)
Y (0.0000, 0.0000, 0.5000)
In (0.5000, 0.5000, 0.5000)
Y (0.0000, 0.5000, 0.0000)

=====

Number 1: ΔH_f (0 K) 65.3 meV/atom. Number 2: ΔH_f (0 K) -453.5 meV/atom.